The following is a DFT calculation (PBE-GGA) of crystalline NaCaHfPt2 at its relaxed geometry.

POSCAR file:
```
NaCaHfPt2
1.0
-1.348 1.101 -4.707
3.284 -4.133 -1.907
-3.840 -3.212 0.349
Na Hf Pt Ca
1 1 2 1
Cartesian
-0.952 -3.122 -3.133
0.000 0.000 0.000
-1.920 -1.606 0.174
-0.674 0.550 -2.353
1.642 -2.066 -0.954
```

E_form: 287 meV per atom
DOS at the Fermi energy: 3.51 states/eV per cell
magnetic moment: 0.00 Bohr magnetons per cell

The following is a DFT calculation (PBE-GGA) of crystalline Cs3Ga2I6 at its relaxed geometry.

POSCAR file:
```
Cs3Ga2I6
1.0
6.043 0.000 0.000
0.000 6.043 0.000
-3.022 -3.022 15.138
I Ga Cs
6 2 3
Cartesian
0.000 3.022 2.604
3.022 0.000 12.534
3.022 3.022 5.912
3.022 0.000 2.604
0.000 3.022 12.534
0.000 0.000 9.226
3.022 3.022 3.027
0.000 0.000 12.111
3.022 3.022 9.838
0.000 0.000 0.000
0.000 0.000 5.300
```

E_form (uncorrected): -1.02 eV per atom
DOS at the Fermi energy: 3.40 states/eV per cell
magnetic moment: 0.00 Bohr magnetons per cell